[1]
## Ac2Pr3Y3 (PBE-GGA)

Data for Ac2Pr3Y3 after structural relaxation.

Values from the calculation:
DFT formation energy, meV/atom: 145
SG: Cmcm (63)
Electronic total energy, eV/atom: -5.10
DOS(E_F), states/eV/cell: 20.21

Cell and atoms, written as POSCAR:
```
Ac2Pr3Y3
1.0
-0.7128 -0.6693 3.7337
8.8981 -1.3883 -0.5450
2.9055 17.1949 3.6368
Ac Pr Y
4 6 6
direct
0.7483 0.4967 0.6061
0.2517 0.5033 0.1061
0.7483 0.4967 0.8939
0.2517 0.5033 0.3939
0.5934 0.1869 0.0403
0.4066 0.8131 0.5403
0.5934 0.1869 0.4597
0.4066 0.8131 0.9597
0.3842 0.7683 0.2500
0.6158 0.2317 0.7500
0.9568 0.9135 0.1190
0.0432 0.0865 0.6190
0.9568 0.9135 0.3810
0.0432 0.0865 0.8810
0.5922 0.1844 0.2500
0.4078 0.8156 0.7500
```


[2]
## Ac4PrY2 (PBE-GGA)

Data for Ac4PrY2 after structural relaxation.

Values from the calculation:
DFT formation energy, meV/atom: 81
SG: Cc (9)
Electronic total energy, eV/atom: -4.80
DOS(E_F), states/eV/cell: 21.97

Cell and atoms, written as POSCAR:
```
Ac4PrY2
1.0
7.0412 -0.2909 -1.6527
-4.2729 5.6036 -1.6513
1.4491 2.7849 12.9253
Ac Pr Y
8 2 4
direct
0.5112 0.2949 0.7127
0.2949 0.5112 0.2128
0.1632 0.8272 0.8595
0.8272 0.1632 0.3596
0.0195 0.3500 0.6400
0.8841 0.6717 0.2880
0.6716 0.8839 0.7879
0.3501 0.0196 0.1401
0.4014 0.7798 0.5005
0.7799 0.4014 0.0005
0.3916 0.2564 0.4332
0.7861 0.9241 0.0675
0.9241 0.7861 0.5674
0.2564 0.3916 0.9332
```


[3]
## AcPr8Y3 (PBE-GGA)

Data for AcPr8Y3 after structural relaxation.

Values from the calculation:
DFT formation energy, meV/atom: 111
SG: C2 (5)
Electronic total energy, eV/atom: -5.03
DOS(E_F), states/eV/cell: 18.36

Cell and atoms, written as POSCAR:
```
AcPr8Y3
1.0
-5.3430 7.5005 -0.0675
-0.3912 -6.1369 -6.8553
0.2496 -8.1190 4.1646
Ac Pr Y
1 8 3
direct
0.8526 0.8526 0.0000
0.4256 0.1035 0.1811
0.3119 0.6731 0.3758
0.2973 0.9361 0.6242
0.9224 0.2446 0.8189
0.4143 0.3352 0.4243
0.8343 0.1783 0.1633
0.0150 0.6709 0.8367
0.9109 0.9900 0.5757
0.5437 0.6405 0.1551
0.4854 0.3886 0.8449
0.9865 0.4865 0.5000
```


[4]
## Ac6Pr7Y16 (PBE-GGA)

Data for Ac6Pr7Y16 after structural relaxation.

Values from the calculation:
DFT formation energy, meV/atom: 205
SG: Fm-3m (225)
Electronic total energy, eV/atom: -5.37
DOS(E_F), states/eV/cell: 45.52

Cell and atoms, written as POSCAR:
```
Ac6Pr7Y16
1.0
-11.5520 0.0276 1.1218
-5.4102 -9.2029 4.5546
-4.8052 0.7225 10.5401
Ac Pr Y
6 7 16
direct
0.2578 0.7422 0.2578
0.7422 0.2578 0.7422
0.7422 0.2578 0.2578
0.2578 0.7422 0.7422
0.7422 0.7422 0.2578
0.2578 0.2578 0.7422
0.0000 0.0000 0.0000
0.5000 0.0000 0.5000
0.0000 0.5000 0.0000
0.0000 0.5000 0.5000
0.5000 0.0000 0.0000
0.0000 0.0000 0.5000
0.5000 0.5000 0.0000
0.8697 0.8697 0.3908
0.8697 0.8697 0.8697
0.8697 0.3908 0.8697
0.3908 0.8697 0.8697
0.1303 0.1303 0.1303
0.1303 0.1303 0.6092
0.1303 0.6092 0.1303
0.6092 0.1303 0.1303
0.6570 0.6570 0.0290
0.6570 0.6570 0.6570
0.6570 0.0290 0.6570
0.0290 0.6570 0.6570
0.3430 0.3430 0.3430
0.3430 0.3430 0.9710
0.3430 0.9710 0.3430
0.9710 0.3430 0.3430
```


[5]
## Ac8PrY5 (PBE-GGA)

Data for Ac8PrY5 after structural relaxation.

Values from the calculation:
DFT formation energy, meV/atom: 139
SG: P1 (1)
Electronic total energy, eV/atom: -4.86
DOS(E_F), states/eV/cell: 21.73

Cell and atoms, written as POSCAR:
```
Ac8PrY5
1.0
8.8919 -0.0644 -1.3277
-5.2745 7.1106 -3.6469
1.6100 0.1063 8.7877
Ac Pr Y
8 1 5
direct
0.1448 0.6231 0.0443
0.9213 0.0756 0.6790
0.7670 0.4598 0.3069
0.6532 0.3282 0.8488
0.4529 0.6019 0.3072
0.5286 0.8448 0.8554
0.3636 0.3178 0.5338
0.2316 0.8731 0.5517
0.0392 0.4487 0.5735
0.9744 0.1975 0.1287
0.9124 0.8709 0.2280
0.8677 0.7308 0.7856
0.6016 0.0547 0.3513
0.2917 0.0731 0.0559
```


[6]
## Ac4PrY4 (PBE-GGA)

Data for Ac4PrY4 after structural relaxation.

Values from the calculation:
DFT formation energy, meV/atom: 44
SG: I4/mmm (139)
Electronic total energy, eV/atom: -5.19
DOS(E_F), states/eV/cell: 13.89

Cell and atoms, written as POSCAR:
```
Ac4PrY4
1.0
5.1154 0.0000 1.7324
2.5577 7.9578 0.8662
0.0051 0.0000 8.4035
Ac Pr Y
4 1 4
direct
0.0000 0.6738 0.3262
0.0000 0.3262 0.6738
0.6738 0.3262 0.3262
0.3262 0.6738 0.6738
0.0000 0.0000 0.0000
0.3367 0.3265 0.0000
0.6633 0.6735 0.0000
0.6633 0.0000 0.6735
0.3367 0.0000 0.3265
```


[7]
## Ac2Pr3Y4 (PBE-GGA)

Data for Ac2Pr3Y4 after structural relaxation.

Values from the calculation:
DFT formation energy, meV/atom: 105
SG: C2/m (12)
Electronic total energy, eV/atom: -5.27
Energy above the lowest structure with this stoichiometry, kcal/mol of atoms: 0.62
DOS(E_F), states/eV/cell: 16.93

Cell and atoms, written as POSCAR:
```
Ac2Pr3Y4
1.0
-5.1410 -0.0381 3.3112
6.3284 -4.8302 4.1230
1.1455 6.2058 1.8500
Ac Pr Y
2 3 4
direct
0.6673 0.3346 0.3394
0.3327 0.6654 0.6606
0.8967 0.7934 0.4297
0.1033 0.2066 0.5703
0.0000 0.0000 0.0000
0.7790 0.5580 0.9125
0.2210 0.4420 0.0875
0.4413 0.8825 0.2232
0.5587 0.1175 0.7768
```


[8]
## Ac5Pr4Y (PBE-GGA)

Data for Ac5Pr4Y after structural relaxation.

Values from the calculation:
DFT formation energy, meV/atom: 27
SG: P4/mmm (123)
Electronic total energy, eV/atom: -4.59
DOS(E_F), states/eV/cell: 16.73

Cell and atoms, written as POSCAR:
```
Ac5Pr4Y
1.0
-0.0657 3.3095 -2.0701
1.3701 -1.9191 -3.1116
-24.5657 -5.2343 -7.5887
Ac Pr Y
5 4 1
direct
0.5000 0.5000 0.0965
0.5000 0.5000 0.2978
0.5000 0.5000 0.5000
0.5000 0.5000 0.7022
0.5000 0.5000 0.9035
0.0000 0.0000 0.1965
0.0000 0.0000 0.3989
0.0000 0.0000 0.6011
0.0000 0.0000 0.8035
0.0000 0.0000 0.0000
```


[9]
## Ac2Pr7Y2 (PBE-GGA)

Data for Ac2Pr7Y2 after structural relaxation.

Values from the calculation:
DFT formation energy, meV/atom: 305
SG: C2/m (12)
Electronic total energy, eV/atom: -4.66
Energy above the lowest structure with this stoichiometry, kcal/mol of atoms: 4.26
DOS(E_F), states/eV/cell: 16.06

Cell and atoms, written as POSCAR:
```
Ac2Pr7Y2
1.0
-5.9922 -0.9424 -3.2559
2.9490 -8.9193 2.0528
-3.1414 -1.4573 5.9501
Ac Pr Y
2 7 2
direct
0.3712 0.0969 0.6288
0.6288 0.9031 0.3712
0.3266 0.2660 0.0670
0.0670 0.7340 0.3266
0.6734 0.7340 0.9330
0.9330 0.2660 0.6734
0.8239 0.3694 0.1761
0.0000 0.0000 0.0000
0.1761 0.6306 0.8239
0.6600 0.5000 0.6600
0.3400 0.5000 0.3400
```


[10]
## AcPrY6 (PBE-GGA)

Data for AcPrY6 after structural relaxation.

Values from the calculation:
DFT formation energy, meV/atom: 391
SG: C2/m (12)
Electronic total energy, eV/atom: -5.57
Energy above the lowest structure with this stoichiometry, kcal/mol of atoms: 5.78
DOS(E_F), states/eV/cell: 16.90

Cell and atoms, written as POSCAR:
```
AcPrY6
1.0
-5.0167 3.0760 1.3387
-3.1473 -3.1338 4.0860
2.5991 4.1379 7.5846
Ac Pr Y
1 1 6
direct
0.0000 0.0000 0.0000
0.5000 0.5000 0.5000
0.4753 0.9547 0.7010
0.9547 0.4753 0.7010
0.0453 0.5247 0.2990
0.5247 0.0453 0.2990
0.6228 0.6228 0.0806
0.3772 0.3772 0.9194
```


[11]
## Ac4Pr5Y (PBE-GGA)

Data for Ac4Pr5Y after structural relaxation.

Values from the calculation:
DFT formation energy, meV/atom: 30
SG: P4/mmm (123)
Electronic total energy, eV/atom: -4.65
DOS(E_F), states/eV/cell: 18.87

Cell and atoms, written as POSCAR:
```
Ac4Pr5Y
1.0
-1.2720 3.2886 -1.5589
-3.5419 -1.4983 -0.2708
-5.7319 9.1976 24.0797
Ac Pr Y
4 5 1
direct
0.0000 0.0000 0.1942
0.0000 0.0000 0.3981
0.0000 0.0000 0.6019
0.0000 0.0000 0.8058
0.5000 0.5000 0.0921
0.5000 0.5000 0.2963
0.5000 0.5000 0.5000
0.5000 0.5000 0.7037
0.5000 0.5000 0.9079
0.0000 0.0000 0.0000
```


[12]
## Ac3Pr8Y (PBE-GGA)

Data for Ac3Pr8Y after structural relaxation.

Values from the calculation:
DFT formation energy, meV/atom: 244
SG: I222 (23)
Electronic total energy, eV/atom: -4.51
DOS(E_F), states/eV/cell: 16.74

Cell and atoms, written as POSCAR:
```
Ac3Pr8Y
1.0
8.2454 -2.2775 -3.8225
-5.8094 7.3499 0.1202
-0.2472 2.2775 9.0850
Ac Pr Y
3 8 1
direct
0.5000 0.8698 0.3698
0.5000 0.1302 0.6302
0.0000 0.5000 0.5000
0.5320 0.2708 0.0564
0.4680 0.5244 0.7388
0.7856 0.7292 0.2612
0.2144 0.4756 0.9436
0.2862 0.3461 0.3557
0.7138 0.0695 0.0599
0.0096 0.6539 0.9401
0.9904 0.9305 0.6443
0.0000 0.0000 0.0000
```